Record 1
Compound: ReOs3
Source: Alexandria via LeMat-Bulk
Functional: PBE-GGA
Structure: optimized geometry

Values from the calculation:
Symmetry   No. 59
Distance to the lowest polymorph of the same formula   0.015 eV/atom

a = 5.5193 Å, b = 4.3703 Å, c = 4.7855 Å
α = 90.00°, β = 90.00°, γ = 90.00°
Last column: nearest neighbours and their distance in Å.
Atoms (fractional coordinates):
Os (0.0000, 0.5000, 0.3342)  4 Re 2.70-2.76, 8 Os 2.71-2.77
Os (0.2502, 0.0000, 0.1667)  8 Os 2.71-2.77, 4 Re 2.71-2.77
Os (0.2498, 0.5000, 0.8333)  8 Os 2.71-2.77, 4 Re 2.71-2.77
Os (0.5000, 0.0000, 0.6658)  4 Re 2.70-2.76, 8 Os 2.71-2.77
Os (0.7498, 0.0000, 0.1667)  8 Os 2.71-2.77, 4 Re 2.71-2.77
Os (0.7502, 0.5000, 0.8333)  8 Os 2.71-2.77, 4 Re 2.71-2.77
Re (0.0000, 0.0000, 0.6656)  12 Os 2.70-2.77
Re (0.5000, 0.5000, 0.3344)  12 Os 2.70-2.77

---

Record 2
Compound: NpUCoRh
Source: Alexandria via LeMat-Bulk
Functional: PBE-GGA
Structure: optimized geometry

Values from the calculation:
Symmetry   No. 216
Distance to the lowest polymorph of the same formula   0.003 eV/atom

a = 4.5057 Å, b = 4.5057 Å, c = 4.5057 Å
α = 60.00°, β = 60.00°, γ = 60.00°
Last column: nearest neighbours and their distance in Å.
Atoms (fractional coordinates):
Np (0.2500, 0.2500, 0.2500)  4 Co 2.76, 4 U 2.76
U (0.5000, 0.5000, 0.5000)  4 Rh 2.76, 4 Np 2.76
Co (0.0000, 0.0000, 0.0000)  4 Np 2.76, 4 Rh 2.76
Rh (0.7500, 0.7500, 0.7500)  4 Co 2.76, 4 U 2.76

---

Record 3
Compound: Li15MgZn4
Source: Alexandria via LeMat-Bulk
Functional: PBE-GGA
Structure: optimized geometry

Values from the calculation:
Symmetry   No. 123
Total DFT energy (no corrections)   -1.850 eV per atom

a = 4.2868 Å, b = 4.2868 Å, c = 18.7340 Å
α = 90.00°, β = 90.00°, γ = 90.00°
Last column: nearest neighbours and their distance in Å.
Atoms (fractional coordinates):
Li (0.5000, 0.5000, 0.0000)  8 Li 3.02, 4 Mg 3.03
Li (0.5000, 0.5000, 0.2094)  8 Li 2.80, 4 Zn 3.03
Li (0.5000, 0.5000, 0.4026)  8 Li 2.81-2.82, 4 Zn 3.03
Li (0.5000, 0.5000, 0.5974)  8 Li 2.81-2.82, 4 Zn 3.03
Li (0.5000, 0.5000, 0.7906)  8 Li 2.80, 4 Zn 3.03
Li (0.5000, 0.0000, 0.1132)  2 Zn 2.79, 8 Li 2.80-3.03, 2 Mg 3.02
Li (0.5000, 0.0000, 0.3057)  4 Zn 2.80-2.81, 8 Li 2.80-3.03
Li (0.5000, 0.0000, 0.5000)  8 Li 2.82-3.03, 4 Zn 2.82
Li (0.5000, 0.0000, 0.6943)  4 Zn 2.80-2.81, 8 Li 2.80-3.03
Li (0.5000, 0.0000, 0.8868)  2 Zn 2.79, 8 Li 2.80-3.03, 2 Mg 3.02
Li (0.0000, 0.5000, 0.1132)  2 Zn 2.79, 8 Li 2.80-3.03, 2 Mg 3.02
Li (0.0000, 0.5000, 0.3057)  4 Zn 2.80-2.81, 8 Li 2.80-3.03
Li (0.0000, 0.5000, 0.5000)  8 Li 2.82-3.03, 4 Zn 2.82
Li (0.0000, 0.5000, 0.6943)  4 Zn 2.80-2.81, 8 Li 2.80-3.03
Li (0.0000, 0.5000, 0.8868)  2 Zn 2.79, 8 Li 2.80-3.03, 2 Mg 3.02
Mg (0.0000, 0.0000, 0.0000)  12 Li 3.02-3.03
Zn (0.0000, 0.0000, 0.2088)  12 Li 2.79-3.03
Zn (0.0000, 0.0000, 0.4020)  12 Li 2.80-3.03
Zn (0.0000, 0.0000, 0.5980)  12 Li 2.80-3.03
Zn (0.0000, 0.0000, 0.7912)  12 Li 2.79-3.03